First-principles (GGA-PBE) data for a relaxed structure of Mn2FeCo, as listed in Alexandria.

Formation enthalpy at 0 K, eV per formula unit: 0.33
Energy above the most stable polymorph in this dataset, eV/atom: 0.074
Density of states at the Fermi level, states/eV/atom: 1.202

Cell: 2.4791 2.4791 24.4372 Å, 90.00 90.00 120.00°
Last column: nearest neighbours and their distance in Å.
Space group R3m (No. 160, hexagonal axes)
Inequivalent atoms, fractional coordinates:
1 Mn 0.0000 0.0000 0.0000 (multiplicity 3)  9 Mn 2.44-2.48, 3 Fe 2.49
2 Mn 0.0000 0.0000 0.2523 (multiplicity 3)  9 Mn 2.44-2.48, 3 Co 2.52
3 Fe 0.0000 0.0000 0.7503 (multiplicity 3)  6 Fe 2.48, 3 Mn 2.49, 3 Co 2.50
4 Co 0.0000 0.0000 0.5008 (multiplicity 3)  6 Co 2.48, 3 Fe 2.50, 3 Mn 2.52


First-principles (GGA-PBE) data for a relaxed structure of KNpAg2I8, as listed in Alexandria.

ΔE_f (raw), kJ/mol of formula units: -623
Density of states at the Fermi level, states/eV/atom: 1.520

Cell: 10.6133 10.6133 9.6125 Å, 90.00 90.00 90.00°
Last column: nearest neighbours and their distance in Å.
Space group I-4m2 (No. 119)
Inequivalent atoms, fractional coordinates:
1 K 0.0000 0.0000 0.0000 (multiplicity 2)  8 I 3.49-3.80
2 Np 0.0000 0.5000 0.7500 (multiplicity 2)  8 I 3.13-3.25
3 Ag 0.0000 0.0000 0.5000 (multiplicity 2)  4 I 2.84
4 Ag 0.0000 0.5000 0.2500 (multiplicity 2)  4 I 2.80
5 I 0.0000 0.2119 0.6807 (multiplicity 8)  1 Ag 2.84, 1 Np 3.13
6 I 0.0000 0.3275 0.0297 (multiplicity 8)  1 Ag 2.80


First-principles (GGA-PBE) data for a relaxed structure of KBaCa2, as listed in Alexandria.

Formation enthalpy at 0 K, eV per formula unit: 0.50
Energy above the most stable polymorph in this dataset, eV/atom: 0.034
Density of states at the Fermi level, states/eV/atom: 1.343

Cell: 13.8426 4.0906 7.5026 Å, 90.00 98.00 90.00°
Last column: nearest neighbours and their distance in Å.
Space group Cm (No. 8)
Inequivalent atoms, fractional coordinates:
1 K 0.0000 0.0000 0.0000 (multiplicity 2)  2 K 4.09, 3 Ba 4.14-4.36, 7 Ca 4.17-4.38
2 Ba 0.2416 0.0000 0.7320 (multiplicity 2)  2 Ba 4.09, 7 Ca 4.12-4.43, 3 K 4.14-4.36
3 Ca 0.2509 0.5000 0.2582 (multiplicity 2)  5 Ca 4.05-4.19, 4 Ba 4.12-4.43, 3 K 4.18-4.26
4 Ca 0.4901 0.0000 0.4819 (multiplicity 2)  5 Ca 4.05-4.19, 3 Ba 4.14-4.24, 4 K 4.17-4.38


First-principles (GGA-PBE) data for a relaxed structure of TaMn2Mo, as listed in Alexandria.

Formation enthalpy at 0 K, eV per formula unit: 1.41
Energy above the most stable polymorph in this dataset, eV/atom: 0.387
Density of states at the Fermi level, states/eV/atom: 1.271

Cell: 2.7567 2.7567 26.4051 Å, 90.00 90.00 120.00°
Last column: nearest neighbours and their distance in Å.
Space group R3m (No. 160, hexagonal axes)
Inequivalent atoms, fractional coordinates:
1 Ta 0.0000 0.0000 0.0000 (multiplicity 3)  6 Ta 2.76, 3 Mn 2.80, 3 Mo 3.01
2 Mn 0.0000 0.0000 0.2459 (multiplicity 3)  3 Mn 2.39
3 Mn 0.0000 0.0000 0.5117 (multiplicity 3)  3 Mn 2.39, 3 Mo 2.68
4 Mo 0.0000 0.0000 0.7635 (multiplicity 3)  3 Mn 2.68, 6 Mo 2.76


First-principles (GGA-PBE) data for a relaxed structure of Rb2NpI5, as listed in Alexandria.

ΔE_f (raw), kJ/mol of formula units: -922
Density of states at the Fermi level, states/eV/atom: 0.457

Cell: 15.0715 10.0674 9.4314 Å, 90.00 90.00 90.00°
Last column: nearest neighbours and their distance in Å.
Space group Pnma (No. 62)
Inequivalent atoms, fractional coordinates:
1 Rb 0.1716 0.0065 0.0662 (multiplicity 8)  8 I 3.72-4.12
2 Np 0.0021 0.2500 0.5720 (multiplicity 4)  7 I 3.16-3.26
3 I 0.0088 0.2500 0.9151 (multiplicity 4)  1 Np 3.24
4 I 0.0722 0.5437 0.6632 (multiplicity 8)  2 Np 3.24-3.26
5 I 0.1793 0.2500 0.3893 (multiplicity 4)  1 Np 3.18
6 I 0.2014 0.7500 0.3464 (multiplicity 4)  1 Np 3.16


First-principles (GGA-PBE) data for a relaxed structure of NaSc2B, as listed in Alexandria.

Formation enthalpy at 0 K, eV per formula unit: 1.52
Density of states at the Fermi level, states/eV/atom: 0.611

Cell: 7.3660 7.3660 6.4222 Å, 90.00 90.00 90.00°
Last column: nearest neighbours and their distance in Å.
Space group I-42d (No. 122)
Inequivalent atoms, fractional coordinates:
1 Na 0.0000 0.0000 0.0000 (multiplicity 4)  2 B 3.21, 8 Sc 3.23-3.25
2 Sc 0.1573 0.2500 0.6250 (multiplicity 8)  2 B 2.32
3 B 0.0000 0.0000 0.5000 (multiplicity 4)  4 Sc 2.32


First-principles (GGA-PBE) data for a relaxed structure of YZr3Al, as listed in Alexandria.

Formation enthalpy at 0 K, eV per formula unit: 2.41
Energy above the most stable polymorph in this dataset, eV/atom: 0.000
Density of states at the Fermi level, states/eV/atom: 2.158

Cell: 5.1441 5.1441 5.1441 Å, 90.00 90.00 90.00°
Last column: nearest neighbours and their distance in Å.
Space group Pm-3m (No. 221)
Inequivalent atoms, fractional coordinates:
1 Y 0.0000 0.0000 0.0000 (multiplicity 1)  12 Zr 3.64
2 Zr 0.0000 0.5000 0.5000 (multiplicity 3)  2 Al 2.57
3 Al 0.5000 0.5000 0.5000 (multiplicity 1)  6 Zr 2.57


First-principles (GGA-PBE) data for a relaxed structure of BaLaZn10, as listed in Alexandria.

Formation enthalpy at 0 K, eV per formula unit: -2.77
Density of states at the Fermi level, states/eV/atom: 0.505

Cell: 4.3128 5.5966 9.6467 Å, 90.00 90.00 90.00°
Last column: nearest neighbours and their distance in Å.
Space group Pmmm (No. 47)
Inequivalent atoms, fractional coordinates:
1 Ba 0.0000 0.0000 0.0000 (multiplicity 1)  18 Zn 3.25-3.63
2 La 0.0000 0.5000 0.5000 (multiplicity 1)  18 Zn 3.17-3.53
3 Zn 0.0000 0.0000 0.3376 (multiplicity 2)  6 Zn 2.67-2.69
4 Zn 0.0000 0.5000 0.1713 (multiplicity 2)  6 Zn 2.69-2.72
5 Zn 0.5000 0.0000 0.5000 (multiplicity 1)  8 Zn 2.67-2.70
6 Zn 0.5000 0.2588 0.2633 (multiplicity 4)  8 Zn 2.69-2.90
7 Zn 0.5000 0.5000 0.0000 (multiplicity 1)  8 Zn 2.72-2.88


First-principles (GGA-PBE) data for a relaxed structure of NdNp5P6, as listed in Alexandria.

Formation enthalpy at 0 K, eV per formula unit: -11.67
Density of states at the Fermi level, states/eV/atom: 3.194

Cell: 6.9115 11.9794 6.9263 Å, 90.00 109.48 90.00°
Last column: nearest neighbours and their distance in Å.
Space group C2/m (No. 12)
Inequivalent atoms, fractional coordinates:
1 Nd 0.0000 0.0000 0.0000 (multiplicity 2)  6 P 2.90-2.91
2 Np 0.0000 0.1632 0.5000 (multiplicity 4)  6 P 2.77-2.83
3 Np 0.0000 0.3325 0.0000 (multiplicity 4)  6 P 2.81-2.82
4 Np 0.0000 0.5000 0.5000 (multiplicity 2)  6 P 2.75-2.83
5 P 0.2405 0.5000 0.2532 (multiplicity 4)  5 Np 2.75-2.81, 1 Nd 2.90
6 P 0.2425 0.3284 0.7436 (multiplicity 8)  5 Np 2.77-2.83, 1 Nd 2.91


> density of states at the Fermi level of number 3 (KBaCa2)?

1.343 states/eV/atom


> What is the formula in the third record?

KBaCa2


> Look up the density of states at the Fermi level of the eighth one.

0.505 states/eV/atom